(one)
SmCd4Pd2: relaxed, PBE-GGA.

- Magnetic moment: 0.0 μB per cell

a b c (Å): 3.8581 4.3891 9.2960
angles (deg): 103.65 90.00 90.00
Atoms (fractional coordinates):
Pd 0.5000 0.4269 0.8538
Sm 0.0000 0.0000 0.0000
Cd 0.5000 0.1685 0.3369
Pd 0.5000 0.5731 0.1462
Cd 0.0000 0.6879 0.3758
Cd 0.5000 0.8315 0.6631
Cd 0.0000 0.3121 0.6242

---

(two)
SmCd4Pd2: relaxed, PBE-GGA.

- Magnetic moment: 0.0 μB per cell

a b c (Å): 4.3223 8.3885 8.3885
angles (deg): 90.00 90.00 90.00
Atoms (fractional coordinates):
Cd 0.5000 0.3982 0.8455
Cd 0.0000 0.6545 0.8982
Cd 0.5000 0.6018 0.1545
Sm 0.5000 0.0000 0.0000
Cd 0.0000 0.8982 0.6545
Pd 0.5000 0.6847 0.6847
Pd 0.0000 0.1847 0.8153
Pd 0.0000 0.8153 0.1847
Cd 0.0000 0.3455 0.1018
Cd 0.5000 0.8455 0.3982
Cd 0.5000 0.1545 0.6018
Cd 0.0000 0.1018 0.3455
Sm 0.0000 0.5000 0.5000
Pd 0.5000 0.3153 0.3153

---

Bottom line: (two), by a margin of 44 meV/atom.

---

(one)
Sm12CdPd6: relaxed, PBE-GGA.

- Magnetic moment: 0.0 μB per cell

a b c (Å): 8.8123 8.8123 8.8123
angles (deg): 109.47 109.47 109.47
Atoms (fractional coordinates):
Sm 0.7018 0.8851 0.1833
Pd 0.3655 0.5000 0.8655
Cd 0.0000 0.0000 0.0000
Sm 0.4815 0.1833 0.2982
Sm 0.5185 0.8167 0.7018
Sm 0.1833 0.2982 0.4815
Pd 0.8655 0.3655 0.5000
Sm 0.8851 0.1833 0.7018
Sm 0.1149 0.8167 0.2982
Pd 0.6345 0.5000 0.1345
Sm 0.2982 0.1149 0.8167
Pd 0.5000 0.1345 0.6345
Pd 0.1345 0.6345 0.5000
Sm 0.7018 0.5185 0.8167
Sm 0.8167 0.7018 0.5185
Pd 0.5000 0.8655 0.3655
Sm 0.8167 0.2982 0.1149
Sm 0.1833 0.7018 0.8851
Sm 0.2982 0.4815 0.1833

---

(two)
Sm12CdPd6: relaxed, PBE-GGA.

- Magnetic moment: 0.0 μB per cell

a b c (Å): 8.8705 8.8705 8.8705
angles (deg): 108.87 108.87 108.87
Atoms (fractional coordinates):
Pd 0.3531 0.7087 0.7830
Pd 0.7087 0.7830 0.3531
Pd 0.2913 0.2170 0.6469
Sm 0.4454 0.1472 0.3830
Pd 0.6469 0.2913 0.2170
Sm 0.3246 0.0319 0.8583
Pd 0.2170 0.6469 0.2913
Sm 0.8583 0.3246 0.0319
Sm 0.9681 0.1417 0.6754
Cd 0.0000 0.0000 0.0000
Sm 0.5546 0.8528 0.6170
Sm 0.1472 0.3830 0.4454
Sm 0.1417 0.6754 0.9681
Sm 0.6754 0.9681 0.1417
Sm 0.8528 0.6170 0.5546
Sm 0.3830 0.4454 0.1472
Sm 0.6170 0.5546 0.8528
Pd 0.7830 0.3531 0.7087
Sm 0.0319 0.8583 0.3246

---

Bottom line: (one), by a margin of 107 meV/atom.